# 1
A relaxed structure of YMgAg2Au, computed with PBE.

calculated total energy = -2.79 eV per atom
formation energy from the elements = 0.614 eV per atom
volume = 160.91 Å³/cell

a b c (Å): 5.4698 5.4698 5.3782
angles (deg): 90.00 90.00 90.00
Last column: nearest neighbours and their distance in Å.
Element x y z (fractional)
1 Y 0.0000 0.0000 0.0000  2 Au 2.69, 4 Ag 2.73
2 Mg 0.5000 0.5000 0.5000  8 Ag 3.84, 4 Au 3.87
3 Ag 0.0000 0.5000 0.0000  2 Y 2.73
4 Ag 0.5000 0.0000 0.0000  2 Y 2.73
5 Au 0.0000 0.0000 0.5000  2 Y 2.69

***

# 2
A relaxed structure of TiCrNi2H, computed with PBE.

calculated total energy = -5.08 eV per atom
energy above the most stable polymorph in this dataset = 1553.6 meV/atom
volume = 79.60 Å³/cell

a b c (Å): 4.2500 4.2500 4.4072
angles (deg): 90.00 90.00 90.00
Last column: nearest neighbours and their distance in Å.
Element x y z (fractional)
1 Ti 0.0000 0.0000 0.0000  2 Cr 2.20
2 Cr 0.0000 0.0000 0.5000  4 Ni 2.13, 2 Ti 2.20
3 Ni 0.0000 0.5000 0.5000  2 Cr 2.13
4 Ni 0.5000 0.0000 0.5000  2 Cr 2.13
5 H 0.5000 0.5000 0.0000  4 Ti 3.01, 8 Ni 3.06

***

# 3
A relaxed structure of ReMo3, computed with PBE.

calculated total energy = -11.21 eV per atom
formation energy from the elements = 0.025 eV per atom
volume = 62.50 Å³/cell

a b c (Å): 2.7235 4.4516 5.2350
angles (deg): 90.00 100.01 90.00
Last column: nearest neighbours and their distance in Å.
Element x y z (fractional)
1 Re 0.0000 0.0000 0.0000  2 Re 2.72, 6 Mo 2.73
2 Mo 0.2548 0.5000 0.7506  6 Mo 2.72-2.75, 2 Re 2.73
3 Mo 0.5000 0.0000 0.5000  6 Mo 2.72-2.73, 2 Re 2.73
4 Mo 0.7452 0.5000 0.2494  6 Mo 2.72-2.75, 2 Re 2.73

***

# 4
A relaxed structure of Pm5Zn4Sn, computed with PBE.

calculated total energy = -3.68 eV per atom
formation energy from the elements = -0.391 eV per atom
volume = 253.03 Å³/cell

a b c (Å): 3.6614 3.6614 18.8744
angles (deg): 90.00 90.00 90.00
Last column: nearest neighbours and their distance in Å.
Element x y z (fractional)
1 Pm 0.0000 0.0000 0.0000  8 Zn 3.19
2 Pm 0.0000 0.0000 0.1942  8 Zn 3.13-3.16
3 Pm 0.0000 0.0000 0.3883  4 Zn 3.21, 4 Sn 3.34
4 Pm 0.0000 0.0000 0.6117  4 Zn 3.21, 4 Sn 3.34
5 Pm 0.0000 0.0000 0.8058  8 Zn 3.13-3.16
6 Zn 0.5000 0.5000 0.0986  8 Pm 3.16-3.19
7 Zn 0.5000 0.5000 0.2876  8 Pm 3.13-3.21
8 Zn 0.5000 0.5000 0.7124  8 Pm 3.13-3.21
9 Zn 0.5000 0.5000 0.9014  8 Pm 3.16-3.19
10 Sn 0.5000 0.5000 0.5000  8 Pm 3.34, 4 Sn 3.66

***

Record order is preserved below.
Size of the total moment: 0.00 0.02 0.00 0.00 μB/f.u.